No. 1
Nb2CrI2: optimized geometry, PBE.

Properties
Energy relative to the elements, uncorrected = 114 kJ per mole of atoms
Distance to the lowest polymorph of the same formula = 0 meV/atom
DOS at the Fermi energy = 9.52 states/eV per cell
Crystal system = tetragonal
E_tot = -26.97 eV/f.u.

Cell lengths 7.5303, 7.5303, 3.5615 Å; angles 90.00, 90.00, 90.00 degrees
Fractional positions:
I: 0.3335 0.8335 0.0000
I: 0.8335 0.6665 0.0000
I: 0.6665 0.1665 0.0000
I: 0.1665 0.3335 0.0000
Cr: 0.0000 0.0000 0.0000
Cr: 0.5000 0.5000 0.0000
Nb: 0.1365 0.6365 0.5000
Nb: 0.6365 0.8635 0.5000
Nb: 0.8635 0.3635 0.5000
Nb: 0.3635 0.1365 0.5000


No. 2
Th2H7Ru2: optimized geometry, PBE.

Properties
DOS at the Fermi energy = 3.57 states/eV per cell
Crystal system = monoclinic
E_tot = -59.86 eV/f.u.

Cell lengths 3.6023, 5.7202, 5.7202 Å; angles 105.71, 82.88, 82.88 degrees
Fractional positions:
Th: 0.5000 0.2210 0.7790
Th: 0.5000 0.7790 0.2210
H: 0.9228 0.8637 0.4991
H: 0.0772 0.5009 0.1363
H: 0.0772 0.1363 0.5009
H: 0.9228 0.4991 0.8637
H: 0.0000 0.0000 0.0000
H: 0.4815 0.7073 0.7073
H: 0.5185 0.2927 0.2927
Ru: 0.0227 0.2796 0.2796
Ru: 0.9773 0.7204 0.7204


No. 3
Ca2Pm15Nd2: optimized geometry, PBE.

Properties
Formation energy = 0.239 eV/atom
DOS at the Fermi energy = 30.04 states/eV per cell
Crystal system = trigonal
E_tot = -80.25 eV/f.u.

Cell lengths 8.9623, 8.9623, 8.9623 Å; angles 81.34, 81.34, 81.34 degrees
Fractional positions:
Ca: 0.6676 0.6676 0.6676
Ca: 0.3324 0.3324 0.3324
Pm: 0.0000 0.5000 0.0000
Pm: 0.0000 0.0000 0.5000
Pm: 0.5000 0.0000 0.0000
Pm: 0.2979 0.0000 0.7021
Pm: 0.7021 0.2979 0.0000
Pm: 0.0000 0.7021 0.2979
Pm: 0.2979 0.7021 0.0000
Pm: 0.0000 0.2979 0.7021
Pm: 0.7021 0.0000 0.2979
Pm: 0.3637 0.8515 0.3637
Pm: 0.3637 0.3637 0.8515
Pm: 0.8515 0.3637 0.3637
Pm: 0.6363 0.1485 0.6363
Pm: 0.6363 0.6363 0.1485
Pm: 0.1485 0.6363 0.6363
Nd: 0.9072 0.9072 0.9072
Nd: 0.0928 0.0928 0.0928


No. 4
SrTc2Ag: optimized geometry, PBE.

Properties
Formation energy = 1.099 eV/atom
Distance to the lowest polymorph of the same formula = 756 meV/atom
DOS at the Fermi energy = 6.95 states/eV per cell
Crystal system = trigonal
E_tot = -20.87 eV/f.u.

Cell lengths 10.4265, 10.4265, 10.4265 Å; angles 15.86, 15.86, 15.86 degrees
Site moments in Bohr magnetons follow the coordinates.
Fractional positions:
Ag: 0.2500 0.2500 0.2500  0.02
Sr: 0.7500 0.7500 0.7500  -0.02
Tc: 0.9931 0.9931 0.9931  0.28
Tc: 0.5069 0.5069 0.5069  0.28